1.
This record from Alexandria via LeMat-Bulk describes ZnSbAs2 at its PBEsol-relaxed geometry. The functional is SCAN.

Computed properties:
Total energy = -22.414 eV per atom
Crystal system = orthorhombic

abc: 3.847 5.204 7.990
angles: 90.00 90.00 90.00
Space group Cmm2 (No. 35)
Symmetry-distinct sites (fractional):
Zn (0.000, 0.000, 0.000) [2 per cell]
Sb (0.000, 0.500, 0.262) [2 per cell]
As (0.000, 0.000, 0.546) [2 per cell]
As (0.000, 0.500, 0.784) [2 per cell]

2.
This record from Alexandria via LeMat-Bulk describes ZnSb2As at its PBEsol-relaxed geometry. The functional is SCAN.

Computed properties:
Total energy = -26.954 eV per atom
Crystal system = tetragonal

abc: 4.008 4.008 5.729
angles: 90.00 90.00 90.00
Space group P4mm (No. 99)
Symmetry-distinct sites (fractional):
Zn (0.000, 0.000, 0.000) [1 per cell]
Sb (0.000, 0.000, 0.506) [1 per cell]
Sb (0.500, 0.500, 0.015) [1 per cell]
As (0.500, 0.500, 0.488) [1 per cell]

3.
This record from Alexandria via LeMat-Bulk describes ZnSb2As at its PBEsol-relaxed geometry. The functional is SCAN.

Computed properties:
Total energy = -26.764 eV per atom
Crystal system = orthorhombic

abc: 3.788 5.253 8.786
angles: 90.00 90.00 90.00
Space group Cmm2 (No. 35)
Symmetry-distinct sites (fractional):
Zn (0.000, 0.000, 0.000) [2 per cell]
Sb (0.000, 0.000, 0.459) [2 per cell]
Sb (0.000, 0.500, 0.762) [2 per cell]
As (0.000, 0.500, 0.192) [2 per cell]

4.
This record from Alexandria via LeMat-Bulk describes ZnSbAs2 at its PBEsol-relaxed geometry. The functional is SCAN.

Computed properties:
Total energy = -22.459 eV per atom
Crystal system = orthorhombic

abc: 3.991 5.462 7.523
angles: 90.00 90.00 90.00
Space group Immm (No. 71)
Symmetry-distinct sites (fractional):
Zn (0.000, 0.000, 0.000) [2 per cell]
Sb (0.000, 0.000, 0.500) [2 per cell]
As (0.000, 0.500, 0.289) [4 per cell]

5.
This record from Alexandria via LeMat-Bulk describes Zn2SbAs2 at its PBEsol-relaxed geometry. The functional is SCAN.

Computed properties:
Total energy = -20.667 eV per atom
Crystal system = tetragonal

abc: 4.112 4.112 11.475
angles: 90.00 90.00 90.00
Space group I4/mmm (No. 139)
Symmetry-distinct sites (fractional):
Zn (0.000, 0.000, 0.105) [4 per cell]
Sb (0.000, 0.000, 0.500) [2 per cell]
As (0.000, 0.500, 0.250) [4 per cell]

6.
This record from Alexandria via LeMat-Bulk describes Zn2SbAs at its PBEsol-relaxed geometry. The functional is SCAN.

Computed properties:
Total energy = -20.842 eV per atom
Crystal system = orthorhombic

abc: 3.880 3.925 5.057
angles: 90.00 90.00 90.00
Space group Pmmm (No. 47)
Symmetry-distinct sites (fractional):
Zn (0.000, 0.000, 0.000) [1 per cell]
Zn (0.500, 0.000, 0.500) [1 per cell]
Sb (0.000, 0.500, 0.500) [1 per cell]
As (0.500, 0.500, 0.000) [1 per cell]